(1)
NaZr3Nb | PBE-GGA | optimized geometry

As for the total magnetization: 0.00 μB per cell. Its crystal system is cubic. The density of states at the Fermi level comes out at 7.8 states/eV/f.u. The electronic total energy is -32.6 eV per cell.

The space group is Pm-3m (No. 221) and the conventional cell measures 5.225, 5.225 and 5.225 Å, with angles of 90.00, 90.00 and 90.00 degrees. Symmetry generates all atoms from Na at (0.000, 0.000, 0.000), Zr at (0.000, 0.500, 0.500) and Nb at (0.500, 0.500, 0.500).

(2)
Na3ZrNb | PBE-GGA | optimized geometry

As for the total magnetization: 1.41 μB per cell. Its crystal system is cubic. The density of states at the Fermi level comes out at 8.6 states/eV/f.u. The electronic total energy is -13.6 eV per cell.

The space group is Pm-3m (No. 221) and the conventional cell measures 5.531, 5.531 and 5.531 Å, with angles of 90.00, 90.00 and 90.00 degrees. Symmetry generates all atoms from Na at (0.000, 0.000, 0.500), Zr at (0.500, 0.500, 0.500) and Nb at (0.000, 0.000, 0.000).

(3)
Na2ZrNb | PBE-GGA | optimized geometry

As for the total magnetization: 0.00 μB per cell. Its crystal system is cubic. The density of states at the Fermi level comes out at 2.3 states/eV/f.u. The electronic total energy is -65.9 eV per cell.

The space group is Fm-3m (No. 225) and the conventional cell measures 7.079, 7.079 and 7.079 Å, with angles of 90.00, 90.00 and 90.00 degrees. Symmetry generates all atoms from Na at (0.250, 0.250, 0.250), Zr at (0.000, 0.000, 0.000) and Nb at (0.000, 0.000, 0.500).